# Gd2CdF

Gd2CdF after structural relaxation (GGA-PBE, Alexandria).

Its raw total energy is -8.939 eV/atom. The formation energy from raw total energies comes out at -1202 meV per atom.

The space group is R-3m (No. 166, hexagonal axes) and the conventional cell measures 3.7779, 3.7779 and 22.8450 Å, with angles of 90.00, 90.00 and 120.00 degrees. The distinct sites, in fractional coordinates, are Gd at (0.0000, 0.0000, 0.2284), Cd at (0.0000, 0.0000, 0.0000) and F at (0.0000, 0.0000, 0.5000).

# GdCdF2

GdCdF2 after structural relaxation (GGA-PBE, Alexandria).

Its raw total energy is -6.554 eV/atom. The formation energy from raw total energies comes out at -1869 meV per atom.

The space group is R-3m (No. 166, hexagonal axes) and the conventional cell measures 3.4957, 3.4957 and 25.8408 Å, with angles of 90.00, 90.00 and 120.00 degrees. The distinct sites, in fractional coordinates, are Gd at (0.0000, 0.0000, 0.0000), Cd at (0.0000, 0.0000, 0.5000) and F at (0.0000, 0.0000, 0.0821).

# GdTi2CdO6F

GdTi2CdO6F after structural relaxation (GGA-PBE, Alexandria).

Its raw total energy is -8.431 eV/atom. The formation energy from raw total energies comes out at -2758 meV per atom.

The space group is Imma (No. 74) and the conventional cell measures 7.082, 7.547 and 10.144 Å, with angles of 90.00, 90.00 and 90.00 degrees. The distinct sites, in fractional coordinates, are Gd at (0.000, 0.000, 0.000), Ti at (0.000, 0.000, 0.500), Ti at (0.250, 0.250, 0.250), Cd at (0.250, 0.250, 0.750), O at (0.000, 0.250, 0.167), O at (0.000, 0.250, 0.591), O at (0.206, 0.057, 0.379) and F at (0.000, 0.250, 0.883).

# CdGeF

CdGeF after structural relaxation (GGA-PBE, Alexandria).

Its raw total energy is -3.328 eV/atom. The formation energy from raw total energies comes out at -860 meV per atom.

The space group is C2/m (No. 12) and the conventional cell measures 19.137, 4.174 and 2.952 Å, with angles of 90.00, 98.66 and 90.00 degrees. The distinct sites, in fractional coordinates, are Cd at (0.205, 0.000, 0.205), Ge at (0.071, 0.000, 0.568) and F at (0.077, 0.500, 0.574).

# CdGeF3

CdGeF3 after structural relaxation (GGA-PBE, Alexandria).

Its raw total energy is -3.598 eV/atom. The formation energy from raw total energies comes out at -1369 meV per atom.

The space group is Pm-3m (No. 221) and the conventional cell measures 4.425, 4.425 and 4.425 Å, with angles of 90.00, 90.00 and 90.00 degrees. The distinct sites, in fractional coordinates, are Cd at (0.000, 0.000, 0.000), Ge at (0.500, 0.500, 0.500) and F at (0.000, 0.000, 0.500).

# Cd2GeF

Cd2GeF after structural relaxation (GGA-PBE, Alexandria).

Its raw total energy is -2.517 eV/atom. The formation energy from raw total energies comes out at -437 meV per atom.

The space group is Fm-3m (No. 225) and the conventional cell measures 6.693, 6.693 and 6.693 Å, with angles of 90.00, 90.00 and 90.00 degrees. The distinct sites, in fractional coordinates, are Cd at (0.250, 0.250, 0.250), Ge at (0.000, 0.000, 0.000) and F at (0.000, 0.000, 0.500).

# CdGeF4

CdGeF4 after structural relaxation (GGA-PBE, Alexandria).

Its raw total energy is -4.262 eV/atom. The formation energy from raw total energies comes out at -2093 meV per atom.

The space group is Pmn2_1 (No. 31) and the conventional cell measures 6.039, 5.782 and 5.723 Å, with angles of 90.00, 90.00 and 90.00 degrees. The distinct sites, in fractional coordinates, are Cd at (0.000, 0.039, 0.000), Ge at (0.000, 0.588, 0.419), F at (0.000, 0.400, 0.100), F at (0.000, 0.814, 0.696) and F at (0.209, 0.809, 0.262).

# Cd3GeF

Cd3GeF after structural relaxation (GGA-PBE, Alexandria).

Its raw total energy is -2.029 eV/atom. The formation energy from raw total energies comes out at -182 meV per atom.

The space group is Pm-3m (No. 221) and the conventional cell measures 5.269, 5.269 and 5.269 Å, with angles of 90.00, 90.00 and 90.00 degrees. The distinct sites, in fractional coordinates, are Cd at (0.000, 0.000, 0.500), Ge at (0.000, 0.000, 0.000) and F at (0.500, 0.500, 0.500).

# CdGe2F

CdGe2F after structural relaxation (GGA-PBE, Alexandria).

Its raw total energy is -3.349 eV/atom. The formation energy from raw total energies comes out at -343 meV per atom.

The space group is I-42d (No. 122) and the conventional cell measures 4.575, 4.575 and 16.181 Å, with angles of 90.00, 90.00 and 90.00 degrees. The distinct sites, in fractional coordinates, are Cd at (0.000, 0.000, 0.000), Ge at (0.144, 0.250, 0.625) and F at (0.000, 0.000, 0.500).

# CdGeF5

CdGeF5 after structural relaxation (GGA-PBE, Alexandria).

Its raw total energy is -4.271 eV/atom. The formation energy from raw total energies comes out at -2144 meV per atom.

The space group is C2/m (No. 12) and the conventional cell measures 9.147, 6.752 and 3.947 Å, with angles of 90.00, 115.24 and 90.00 degrees. The distinct sites, in fractional coordinates, are Cd at (0.000, 0.000, 0.000), Ge at (0.000, 0.500, 0.500), F at (0.000, 0.202, 0.500), F at (0.000, 0.500, 0.000) and F at (0.235, 0.500, 0.733).

# Cd2GeF6

Cd2GeF6 after structural relaxation (GGA-PBE, Alexandria).

Its raw total energy is -4.101 eV/atom. The formation energy from raw total energies comes out at -2137 meV per atom.

The space group is P4_2/mnm (No. 136) and the conventional cell measures 5.194, 5.194 and 10.697 Å, with angles of 90.00, 90.00 and 90.00 degrees. The distinct sites, in fractional coordinates, are Cd at (0.000, 0.000, 0.166), Ge at (0.000, 0.000, 0.500), F at (0.191, 0.191, 0.335) and F at (0.196, 0.196, 0.000).

# CdGeF3

CdGeF3 after structural relaxation (GGA-PBE, Alexandria).

Its raw total energy is -3.786 eV/atom. The formation energy from raw total energies comes out at -1556 meV per atom.

The space group is Pm-3m (No. 221) and the conventional cell measures 4.403, 4.403 and 4.403 Å, with angles of 90.00, 90.00 and 90.00 degrees. The distinct sites, in fractional coordinates, are Cd at (0.000, 0.000, 0.000), Ge at (0.500, 0.500, 0.500) and F at (0.000, 0.500, 0.500).